First-principles (GGA-PBE) data for a relaxed structure of LaTlCd2Pd, as listed in the Alexandria database.

## Properties
- calculated total energy (eV/atom) = -3.124
- space group = P4/mmm, No. 123
- energy of formation from the pure elements (kJ/mol of formula units) = -126
- size of the total moment (μB/f.u.) = 0.00

Cell: 5.2752 5.2752 5.3323 Å, 90.00 90.00 90.00°
Positions (direct):
Tl 0.5000 0.5000 0.5000
Cd 0.0000 0.5000 0.0000
Cd 0.5000 0.0000 0.0000
Pd 0.0000 0.0000 0.0000
La 0.0000 0.0000 0.5000